A.
# TeRuN2F GGA-PBE relaxed
# crystal system: tetragonal
# N(E_F): 3.701 states/eV/f.u.
# calculated volume: 65 Å³/cell
data_TeRuN2F
_chemical_formula_sum 'Te1 Ru1 N2 F1'
_symmetry_space_group_name_H-M 'P 4/m m m'
_symmetry_Int_Tables_number 123
_symmetry_space_group_name_Hall '-P 4 2'
_cell_length_a 3.9770
_cell_length_b 3.9770
_cell_length_c 4.1073
_cell_angle_alpha 90.00
_cell_angle_beta 90.00
_cell_angle_gamma 90.00
loop_
_atom_site_label
_atom_site_type_symbol
_atom_site_fract_x
_atom_site_fract_y
_atom_site_fract_z
_atom_site_occupancy
Te1 Te 0.0000 0.0000 0.0000 1
Ru1 Ru 0.5000 0.5000 0.5000 1
N1 N 0.0000 0.5000 0.5000 1
F1 F 0.5000 0.5000 0.0000 1

---

B.
# TeRuN2F GGA-PBE relaxed
# crystal system: tetragonal
# N(E_F): 4.192 states/eV/f.u.
# calculated volume: 67 Å³/cell
data_TeRuN2F
_chemical_formula_sum 'Te1 Ru1 N2 F1'
_symmetry_space_group_name_H-M 'P 4/m m m'
_symmetry_Int_Tables_number 123
_symmetry_space_group_name_Hall '-P 4 2'
_cell_length_a 4.0057
_cell_length_b 4.0057
_cell_length_c 4.1742
_cell_angle_alpha 90.00
_cell_angle_beta 90.00
_cell_angle_gamma 90.00
loop_
_atom_site_label
_atom_site_type_symbol
_atom_site_fract_x
_atom_site_fract_y
_atom_site_fract_z
_atom_site_occupancy
Te1 Te 0.0000 0.0000 0.0000 1
Ru1 Ru 0.5000 0.5000 0.0000 1
N1 N 0.0000 0.5000 0.5000 1
F1 F 0.0000 0.0000 0.5000 1

---

Relative to the most stable one, in eV/atom, the structures come out at A 0.000; B 1.522.